# 1
Below is crystalline Pu2NiP at its relaxed geometry, with properties calculated at the PBE level.

Unit cell a=3.6377 b=3.6377 c=5.6769 alpha=90.00 beta=90.00 gamma=90.00
Closest atoms and distances in Å follow each position.
Element x y z (fractional)
1 Ni 0.5000 0.5000 0.5000  2 P 2.84, 8 Pu 2.95
2 P 0.5000 0.5000 0.0000  2 Ni 2.84, 8 Pu 2.93
3 Pu 0.0000 0.0000 0.7535  2 Pu 2.80-2.88, 4 P 2.93, 4 Ni 2.95
4 Pu 0.0000 0.0000 0.2465  2 Pu 2.80-2.88, 4 P 2.93, 4 Ni 2.95

Values from the calculation:
Energy of formation   -0.4887 eV/atom

# 2
Below is crystalline Pu2Ni5P4 at its relaxed geometry, with properties calculated at the PBE level.

Unit cell a=5.2716 b=5.5283 c=6.8555 alpha=79.44 beta=67.39 gamma=61.52
Closest atoms and distances in Å follow each position.
Element x y z (fractional)
1 Pu 0.8551 0.0000 0.2898  6 P 3.02-3.20, 10 Ni 3.07-3.32
2 Pu 0.1449 0.0000 0.7102  6 P 3.02-3.20, 10 Ni 3.07-3.32
3 Ni 0.5000 0.0000 0.0000  4 P 2.21
4 Ni 0.0000 0.5000 0.0000  4 P 2.32
5 Ni 0.5000 0.5000 0.0000  4 P 2.32
6 Ni 0.2500 0.5000 0.5000  4 P 2.22
7 Ni 0.7500 0.5000 0.5000  4 P 2.22
8 P 0.4795 0.3024 0.7386  5 Ni 2.21-2.32
9 P 0.5205 0.6976 0.2614  5 Ni 2.21-2.32
10 P 0.2181 0.3024 0.2614  5 Ni 2.21-2.32
11 P 0.7819 0.6976 0.7386  5 Ni 2.21-2.32

Values from the calculation:
Energy of formation   -0.6311 eV/atom